Compound: CrBiOsF2
Source: the Alexandria database
Functional: GGA+U
Structure: relaxed

a b c (Å): 4.135 4.135 5.700
angles (deg): 90.00 90.00 90.00
Space group P4/mmm (No. 123)
Symmetry-distinct sites (fractional):
Cr (0.000, 0.000, 0.000) (multiplicity 1)
Bi (0.500, 0.500, 0.000) (multiplicity 1)
Os (0.500, 0.500, 0.500) (multiplicity 1)
F (0.000, 0.500, 0.500) (multiplicity 2)

E = -27.08 eV/cell
Spin magnetization = 5.55 μB per formula unit